Computed, not measured: a geometry-optimized Li11Co2O8 structure at the PBE+U level of DFT.

Results
total energy: -106.052 eV for the cell shown
total magnetic moment: 7.0 μB per cell

abc: 6.4601 6.4931 4.6330
angles: 90.00 90.00 90.00
With the nearest neighbours (Å) after each atom.
Space group Pmm2 (No. 25)
Inequivalent atoms, fractional coordinates:
Li 0.0000 0.0000 0.0000 x1  4 O 1.88-2.00
Li 0.0000 0.0000 0.4925 x1  4 O 1.93-1.95
Li 0.2435 0.2957 0.4515 x4  4 O 1.96-2.16
Li 0.2863 0.2122 0.9542 x4  4 O 1.89-2.12
Li 0.5000 0.5000 0.8904 x1  4 O 1.87-1.99
Co 0.0000 0.5000 0.9438 x1  4 O 1.85-1.92
Co 0.5000 0.0000 0.4565 x1  4 O 1.95-1.99
O 0.0000 0.2448 0.7364 x2  1 Co 1.92, 6 Li 1.95-2.12
O 0.2355 0.0000 0.2368 x2  4 Li 1.88-1.93, 1 Co 1.99
O 0.2490 0.5000 0.1390 x2  1 Co 1.85, 3 Li 1.96-1.99
O 0.5000 0.2540 0.6808 x2  5 Li 1.87-1.99, 1 Co 1.95

Computed, not measured: a geometry-optimized Li3CoO4 structure at the PBE+U level of DFT.

Results
total energy: -166.052 eV for the cell shown
ΔE to the lowest computed polymorph: 40 meV per atom
total magnetic moment: 8.0 μB per cell

abc: 4.8509 11.4045 4.9183
angles: 90.00 109.57 90.00
With the nearest neighbours (Å) after each atom.
Space group P2 (No. 3)
Inequivalent atoms, fractional coordinates:
Li 0.0000 0.9996 0.0000 x1  6 O 1.98-2.19
Li 0.0000 0.1204 0.5000 x1  6 O 2.02-2.08
Li 0.0000 0.2480 0.0000 x1  6 O 2.01-2.04
Li 0.0000 0.4960 0.0000 x1  6 O 1.98-2.14
Li 0.0000 0.7472 0.0000 x1  6 O 1.99-2.09
Li 0.5000 0.0000 0.5000 x1  6 O 1.98-2.06
Li 0.5000 0.1258 0.0000 x1  4 O 1.97-2.15
Li 0.5000 0.2475 0.5000 x1  6 O 2.00-2.03
Li 0.5000 0.3752 0.0000 x1  6 O 1.99-2.19
Li 0.5000 0.4957 0.5000 x1  6 O 1.97-2.04
Li 0.5000 0.6162 0.0000 x1  6 O 2.03-2.13
Li 0.5000 0.8730 0.0000 x1  6 O 1.95-2.12
Co 0.0000 0.3661 0.5000 x1  4 O 1.78-1.80
Co 0.0000 0.6181 0.5000 x1  6 O 1.84-1.94
Co 0.0000 0.8770 0.5000 x1  4 O 1.75-1.89
Co 0.5000 0.7465 0.5000 x1  6 O 1.85-1.91
O 0.2233 0.5013 0.7273 x2  2 Co 1.84-2.00, 3 Li 1.99-2.03
O 0.2257 0.9804 0.7347 x2  1 Co 1.75, 1 Li 1.95
O 0.2268 0.3755 0.2753 x2  1 Co 1.80, 2 Li 1.97-1.98
O 0.2344 0.2610 0.7336 x2  1 Co 1.78, 1 Li 1.99
O 0.2434 0.7440 0.7212 x2  3 Co 1.91-2.00, 3 Li 2.09-2.11
O 0.2473 0.6312 0.2796 x2  2 Co 1.87-1.88, 2 Li 1.99-2.04
O 0.2526 0.1218 0.2454 x2  6 Li 1.97-2.02
O 0.2527 0.8608 0.2812 x2  2 Co 1.85-1.89, 2 Li 1.99-2.06

Computed, not measured: a geometry-optimized LiCoO3 structure at the PBE+U level of DFT.

Results
total energy: -25.427 eV for the cell shown
total magnetic moment: 3.5 μB per cell

abc: 3.6212 3.6212 3.7475
angles: 90.00 90.00 90.00
With the nearest neighbours (Å) after each atom.
Space group P4mm (No. 99)
Inequivalent atoms, fractional coordinates:
Li 0.0000 0.0000 0.0000 x1  4 O 2.09
Co 0.5000 0.5000 0.6348 x1  5 O 1.70-1.84
O 0.0000 0.5000 0.7191 x2  2 Co 1.84
O 0.5000 0.5000 0.1824 x1  1 Co 1.70

Computed, not measured: a geometry-optimized LiCoO3 structure at the PBE+U level of DFT.

Results
total energy: -104.777 eV for the cell shown
total magnetic moment: 8.0 μB per cell

abc: 4.9652 6.8895 4.7825
angles: 90.00 90.00 90.00
With the nearest neighbours (Å) after each atom.
Space group Pnma (No. 62)
Inequivalent atoms, fractional coordinates:
Li 0.0713 0.2500 0.0149 x4  4 O 1.92-2.04
Co 0.0000 0.0000 0.5000 x4  6 O 1.85-1.86
O 0.0440 0.7500 0.3677 x4  2 Co 1.85, 2 Li 1.92-2.04
O 0.1808 0.5663 0.8259 x8  2 Co 1.85-1.86, 1 Li 1.94

Computed, not measured: a geometry-optimized LiCo2O6 structure at the PBE+U level of DFT.

Results
total energy: -93.617 eV for the cell shown
ΔE to the lowest computed polymorph: 0 meV per atom
total magnetic moment: 10.0 μB per cell

abc: 4.7636 8.1723 5.0416
angles: 90.00 113.94 90.00
With the nearest neighbours (Å) after each atom.
Space group C2/m (No. 12)
Inequivalent atoms, fractional coordinates:
Li 0.0000 0.0000 0.0000 x2  6 O 2.03-2.04
Co 0.0000 0.1674 0.5000 x4  6 O 1.81-1.82
O 0.2184 0.0000 0.7247 x4  2 Co 1.81
O 0.2241 0.1799 0.2837 x8  2 Co 1.81-1.82, 1 Li 2.03

Computed, not measured: a geometry-optimized Li2CoO4 structure at the PBE+U level of DFT.

Results
total energy: -283.789 eV for the cell shown
total magnetic moment: 7.0 μB per cell

abc: 8.0534 8.0534 8.0534
angles: 90.00 90.00 90.00
With the nearest neighbours (Å) after each atom.
Space group Fd-3m (No. 227, origin choice 2)
Inequivalent atoms, fractional coordinates:
Li 0.0000 0.0000 0.0000 x16  6 O 2.06
Co 0.1250 0.1250 0.6250 x8  4 O 1.66
O 0.0057 0.0057 0.7443 x32  1 Co 1.66

Computed, not measured: a geometry-optimized Li3CoO4 structure at the PBE+U level of DFT.

Results
total energy: -83.662 eV for the cell shown
ΔE to the lowest computed polymorph: 0 meV per atom
total magnetic moment: 4.0 μB per cell

abc: 4.9537 5.6834 4.8527
angles: 90.00 110.12 90.00
With the nearest neighbours (Å) after each atom.
Space group P2/c (No. 13)
Inequivalent atoms, fractional coordinates:
Li 0.0000 0.1104 0.2500 x2  6 O 1.97-2.19
Li 0.0000 0.3708 0.7500 x2  6 O 1.98-2.17
Li 0.5000 0.1212 0.7500 x2  6 O 2.00-2.07
Co 0.5000 0.3610 0.2500 x2  6 O 1.79-1.93
O 0.2614 0.1455 0.0251 x4  1 Co 1.79, 3 Li 1.97-2.00
O 0.2817 0.3942 0.4944 x4  2 Co 1.87-1.93, 2 Li 2.00-2.05

Computed, not measured: a geometry-optimized LiCoO3 structure at the PBE+U level of DFT.

Results
total energy: -105.825 eV for the cell shown
total magnetic moment: 1.1 μB per cell

abc: 4.7932 8.2628 4.9828
angles: 90.00 110.12 90.00
With the nearest neighbours (Å) after each atom.
Space group C2 (No. 5)
Inequivalent atoms, fractional coordinates:
Li 0.0000 0.0000 0.0000 x2  4 O 1.96-2.04
Li 0.0000 0.3495 0.0000 x2  6 O 1.94-2.14
Co 0.0000 0.1958 0.5000 x2  6 O 1.80-1.88
Co 0.0000 0.5245 0.5000 x2  6 O 1.80-1.87
O 0.2067 0.3595 0.7268 x4  2 Co 1.82-1.83, 2 Li 1.94-1.96
O 0.2250 0.1754 0.2781 x4  2 Co 1.80-1.87
O 0.2330 0.5380 0.2838 x4  2 Co 1.80-1.88